(1)
DFT (PBE-GGA) results for a relaxed BeCr2B6 crystal.

a = 4.1917 Å, b = 4.1917 Å, c = 4.1917 Å
α = 74.92°, β = 74.92°, γ = 74.92°
With the nearest neighbours (Å) after each atom.
Element x y z (fractional)
Be (0.0000, 0.0000, 0.0000)  12 B 2.26
Cr (0.3249, 0.3249, 0.3249)  12 B 2.22-2.31
Cr (0.6751, 0.6751, 0.6751)  12 B 2.22-2.31
B (0.1681, 0.5000, 0.8319)  3 B 1.69-1.71
B (0.1681, 0.8319, 0.5000)  3 B 1.69-1.71
B (0.5000, 0.1681, 0.8319)  3 B 1.69-1.71
B (0.5000, 0.8319, 0.1681)  3 B 1.69-1.71
B (0.8319, 0.1681, 0.5000)  3 B 1.69-1.71
B (0.8319, 0.5000, 0.1681)  3 B 1.69-1.71

Summary:
- DOS at the Fermi energy: 2.912 states/eV/f.u.
- Spin magnetization: 1.615 μB per cell
- Formation enthalpy at 0 K: -0.215 eV/atom

***

(2)
DFT (PBE-GGA) results for a relaxed Hf5BeRu4 crystal.

a = 3.2347 Å, b = 3.2347 Å, c = 16.0484 Å
α = 90.00°, β = 90.00°, γ = 90.00°
With the nearest neighbours (Å) after each atom.
Element x y z (fractional)
Hf (0.0000, 0.0000, 0.0000)  8 Ru 2.81
Hf (0.0000, 0.0000, 0.2028)  8 Ru 2.81-2.82
Hf (0.0000, 0.0000, 0.4045)  4 Be 2.75, 4 Ru 2.79, 1 Hf 3.06
Hf (0.0000, 0.0000, 0.5955)  4 Be 2.75, 4 Ru 2.79, 1 Hf 3.06
Hf (0.0000, 0.0000, 0.7972)  8 Ru 2.81-2.82
Be (0.5000, 0.5000, 0.5000)  8 Hf 2.75
Ru (0.5000, 0.5000, 0.1016)  8 Hf 2.81
Ru (0.5000, 0.5000, 0.3051)  8 Hf 2.79-2.82
Ru (0.5000, 0.5000, 0.6949)  8 Hf 2.79-2.82
Ru (0.5000, 0.5000, 0.8984)  8 Hf 2.81

Summary:
- DOS at the Fermi energy: 3.175 states/eV/f.u.
- Spin magnetization: 0.000 μB per cell
- Formation enthalpy at 0 K: -0.665 eV/atom

***

- What is the DOS at the Fermi energy in the second record?
  3.175 states/eV/f.u.

***

- DOS at the Fermi energy of number 1 (BeCr2B6)?
  2.912 states/eV/f.u.

***

Copy entry 2 word for word.
DFT (PBE-GGA) results for a relaxed Hf5BeRu4 crystal.

a = 3.2347 Å, b = 3.2347 Å, c = 16.0484 Å
α = 90.00°, β = 90.00°, γ = 90.00°
With the nearest neighbours (Å) after each atom.
Element x y z (fractional)
Hf (0.0000, 0.0000, 0.0000)  8 Ru 2.81
Hf (0.0000, 0.0000, 0.2028)  8 Ru 2.81-2.82
Hf (0.0000, 0.0000, 0.4045)  4 Be 2.75, 4 Ru 2.79, 1 Hf 3.06
Hf (0.0000, 0.0000, 0.5955)  4 Be 2.75, 4 Ru 2.79, 1 Hf 3.06
Hf (0.0000, 0.0000, 0.7972)  8 Ru 2.81-2.82
Be (0.5000, 0.5000, 0.5000)  8 Hf 2.75
Ru (0.5000, 0.5000, 0.1016)  8 Hf 2.81
Ru (0.5000, 0.5000, 0.3051)  8 Hf 2.79-2.82
Ru (0.5000, 0.5000, 0.6949)  8 Hf 2.79-2.82
Ru (0.5000, 0.5000, 0.8984)  8 Hf 2.81

Summary:
- DOS at the Fermi energy: 3.175 states/eV/f.u.
- Spin magnetization: 0.000 μB per cell
- Formation enthalpy at 0 K: -0.665 eV/atom

***

- Among the records above, which one has the lowest spin magnetization?
  Hf5BeRu4